(1)
Here is a relaxed structure of CaRhSe2 from the Alexandria database. Energies are from GGA-PBEsol.

a b c (Å): 3.798 5.115 5.115
angles (deg): 67.17 68.20 68.20
Fractional coordinates of all 4 atoms:
Rh (0.000, 0.500, 0.500)
Se (0.301, 0.699, 0.699)
Se (0.699, 0.301, 0.301)
Ca (0.500, 0.000, 0.000)

VASP energy ... -0.197 hartree per atom
Magnetic moment ... 0.00 μB/atom
ΔE_f (raw) ... -3.43 eV per formula unit


(2)
Here is a relaxed structure of YAl2Te from the Alexandria database. Energies are from GGA-PBEsol.

a b c (Å): 4.164 4.164 5.926
angles (deg): 110.57 110.57 90.00
Fractional coordinates of all 4 atoms:
Te (0.000, 0.000, 0.000)
Y (0.500, 0.500, 0.000)
Al (0.250, 0.750, 0.500)
Al (0.750, 0.250, 0.500)

VASP energy ... -0.186 hartree per atom
Magnetic moment ... 0.00 μB/atom
ΔE_f (raw) ... -1.72 eV per formula unit


(3)
Here is a relaxed structure of SrAlRu from the Alexandria database. Energies are from GGA-PBEsol.

a b c (Å): 4.736 4.736 4.736
angles (deg): 60.00 60.00 60.00
Fractional coordinates of all 3 atoms:
Al (0.000, 0.000, 0.000)
Sr (0.750, 0.750, 0.750)
Ru (0.500, 0.500, 0.500)

VASP energy ... -0.143 hartree per atom
Magnetic moment ... 0.18 μB/atom
ΔE_f ... 1.476 eV/atom


(4)
Here is a relaxed structure of FeCuPt2 from the Alexandria database. Energies are from GGA-PBEsol.

a b c (Å): 2.721 3.580 5.479
angles (deg): 90.00 90.00 90.00
Fractional coordinates of all 4 atoms:
Pt (0.000, 0.000, 0.250)
Cu (0.500, 0.500, 0.000)
Fe (0.500, 0.500, 0.500)
Pt (0.000, 0.000, 0.750)

VASP energy ... -0.257 hartree per atom
Magnetic moment ... 0.93 μB/atom
ΔE_f ... -0.194 eV/atom